No. 1
Density functional theory data (PBE-GGA) for Tb5Pm12Pu after structural relaxation.

Computed properties:
formation enthalpy at 0 K = 0.13 eV per atom
calculated density = 7.67 g/cm³
magnetic moment = 6.40 μB per formula unit
Fermi-level density of states = 80.3 states/eV/cell
calculated total energy = -184.37 eV for the cell shown

Unit cell a=11.1568 b=18.0021 c=5.9932 alpha=90.00 beta=90.12 gamma=90.00
Last column: nearest neighbours and their distance in Å.
Space group C2/m (No. 12)
Inequivalent atoms, fractional coordinates:
Tb 0.0000 0.0000 0.0000  10 Pm 3.46-3.81
Tb 0.0000 0.1674 0.5000  10 Pm 3.46-3.77
Tb 0.0000 0.3314 0.0000  10 Pm 3.46-3.75
Pm 0.1581 0.5000 0.9903  2 Pu 3.42-3.53, 3 Tb 3.51-3.81, 5 Pm 3.53-3.60
Pm 0.1624 0.3355 0.5096  4 Tb 3.46-3.77, 1 Pu 3.47, 5 Pm 3.54-3.65
Pm 0.1642 0.0000 0.5100  4 Tb 3.46-3.56, 5 Pm 3.54-3.66, 1 Pu 3.75
Pm 0.1642 0.1660 0.9909  5 Tb 3.46-3.75, 5 Pm 3.56-3.67
Pu 0.0000 0.5000 0.5000  10 Pm 3.42-3.75

No. 2
Density functional theory data (PBE-GGA) for UTe2 after structural relaxation.

Computed properties:
calculated density = 8.78 g/cm³
magnetic moment = 2.60 μB per formula unit
Fermi-level density of states = 28.6 states/eV/cell
formation energy without anion corrections = -1.8 eV per formula unit
calculated total energy = -77.62 eV for the cell shown

Unit cell a=7.3172 b=8.3478 c=6.1054 alpha=90.00 beta=90.00 gamma=90.00
Last column: nearest neighbours and their distance in Å.
Space group Pbcm (No. 57)
Inequivalent atoms, fractional coordinates:
U 0.2336 0.0635 0.2500  8 Te 3.05-3.25
Te 0.0910 0.7500 0.0000  2 Te 3.05, 4 U 3.20-3.22
Te 0.3836 0.0952 0.7500  4 U 3.05-3.25

No. 3
Density functional theory data (PBE-GGA) for Tl2SiSe after structural relaxation.

Computed properties:
calculated density = 8.40 g/cm³
magnetic moment = 0.00 μB per formula unit
Fermi-level density of states = 12.0 states/eV/cell
formation energy without anion corrections = 1.5 eV per formula unit
calculated total energy = -48.62 eV for the cell shown

Unit cell a=7.4150 b=7.4150 c=7.4150 alpha=90.00 beta=90.00 gamma=90.00
Last column: nearest neighbours and their distance in Å.
Space group Fm-3m (No. 225)
Inequivalent atoms, fractional coordinates:
Tl 0.2500 0.2500 0.2500  4 Si 3.21, 4 Se 3.21
Si 0.0000 0.0000 0.0000  8 Tl 3.21
Se 0.0000 0.0000 0.5000  8 Tl 3.21

No. 4
Density functional theory data (PBE-GGA) for UVS4 after structural relaxation.

Computed properties:
calculated density = 4.70 g/cm³
magnetic moment = 3.00 μB per formula unit
Fermi-level density of states = 9.3 states/eV/cell
formation energy without anion corrections = -6.5 eV per formula unit
calculated total energy = -86.93 eV for the cell shown

Unit cell a=14.0552 b=3.7645 c=6.1084 alpha=90.00 beta=114.15 gamma=90.00
Last column: nearest neighbours and their distance in Å.
Space group C2/m (No. 12)
Inequivalent atoms, fractional coordinates:
U 0.0000 0.0000 0.0000  6 S 2.55-2.62
V 0.0000 0.5000 0.5000  6 S 2.42-2.49
S 0.1058 0.0000 0.7457  2 V 2.49, 1 U 2.55
S 0.1127 0.5000 0.2885  1 V 2.42, 2 U 2.62

No. 5
Density functional theory data (PBE-GGA) for AlAg2P after structural relaxation.

Computed properties:
formation enthalpy at 0 K = 0.24 eV per atom
calculated density = 6.54 g/cm³
magnetic moment = 0.00 μB per formula unit
Fermi-level density of states = 6.8 states/eV/cell
calculated total energy = -55.53 eV for the cell shown

Unit cell a=6.5260 b=6.5260 c=6.5260 alpha=90.00 beta=90.00 gamma=90.00
Last column: nearest neighbours and their distance in Å.
Space group F-43m (No. 216)
Inequivalent atoms, fractional coordinates:
Al 0.0000 0.0000 0.0000  4 Ag 2.83, 4 P 2.83
Ag 0.0000 0.0000 0.5000  4 P 2.83, 4 Ag 2.83
Ag 0.2500 0.2500 0.2500  4 Ag 2.83, 4 Al 2.83
P 0.2500 0.2500 0.7500  4 Al 2.83, 4 Ag 2.83

No. 6
Density functional theory data (PBE-GGA) for Hg3MoAs after structural relaxation.

Computed properties:
formation enthalpy at 0 K = 1.13 eV per atom
calculated density = 8.62 g/cm³
magnetic moment = 5.08 μB per formula unit
Fermi-level density of states = 2.1 states/eV/cell
calculated total energy = -10.75 eV for the cell shown

Unit cell a=5.2989 b=5.2989 c=5.2989 alpha=90.00 beta=90.00 gamma=90.00
Last column: nearest neighbours and their distance in Å.
Space group Pm-3m (No. 221)
Inequivalent atoms, fractional coordinates:
Hg 0.0000 0.0000 0.5000  2 As 2.65
Mo 0.5000 0.5000 0.5000  12 Hg 3.75
As 0.0000 0.0000 0.0000  6 Hg 2.65

What is the formula in the first record?
Tb5Pm12Pu